Compound: Rb2FeAsF6
Source: Alexandria
Functional: PBE with a Hubbard U
Structure: relaxed

Cell and atoms, written as CIF:
```
data_Rb2FeAsF6
_chemical_formula_sum 'Rb4 Fe2 As2 F12'
_cell_length_a 6.385
_cell_length_b 6.385
_cell_length_c 8.325
_cell_angle_alpha 90.00
_cell_angle_beta 90.00
_cell_angle_gamma 90.00
_space_group_name_H-M_alt 'I 4/m m m'
_space_group_IT_number 139
_space_group_name_Hall '-I 4 2'
loop_
_atom_site_label
_atom_site_type_symbol
_atom_site_fract_x
_atom_site_fract_y
_atom_site_fract_z
Rb1 Rb 0.000 0.500 0.250
Fe1 Fe 0.000 0.000 0.000
As1 As 0.000 0.000 0.500
F1 F 0.000 0.000 0.252
F2 F 0.233 0.233 0.000
```

Values from the calculation:
N(E_F), states/eV/f.u.: 5.2
E_tot, eV/atom: -4.55